# 1
The following is a PBE calculation of a relaxed structure of LiPb2Se, from Alexandria.

Uncorrected formation energy   -378 meV/atom
SG   Cmm2 (35)

Structure (CIF):
```
data_LiPb2Se
_space_group_name_H-M_alt 'P 1'
_space_group_IT_number 1
_cell_length_a 5.2141
_cell_length_b 5.2239
_cell_length_c 7.5845
_cell_angle_alpha 90.00
_cell_angle_beta 90.00
_cell_angle_gamma 90.00
loop_
_space_group_symop_operation_xyz
'x,y,z'
loop_
_atom_site_label
_atom_site_type_symbol
_atom_site_fract_x
_atom_site_fract_y
_atom_site_fract_z
_atom_site_occupancy
Li1 Li 0.0000 0.0000 0.0000 1
Li2 Li 0.5000 0.5000 0.0000 1
Pb1 Pb 0.0000 0.0000 0.6048 1
Pb2 Pb 0.0000 0.5000 0.3051 1
Pb3 Pb 0.5000 0.0000 0.3051 1
Pb4 Pb 0.5000 0.5000 0.6048 1
Se1 Se 0.0000 0.5000 0.9272 1
Se2 Se 0.5000 0.0000 0.9272 1
```

# 2
The following is a PBE calculation of a relaxed structure of Ag14Ge2Se9, from Alexandria.

Uncorrected formation energy   -39 meV/atom
SG   P-1 (2)

Structure (CIF):
```
data_Ag14Ge2Se9
_space_group_name_H-M_alt 'P 1'
_space_group_IT_number 1
_cell_length_a 7.5597
_cell_length_b 8.3653
_cell_length_c 10.1159
_cell_angle_alpha 87.18
_cell_angle_beta 86.69
_cell_angle_gamma 65.35
loop_
_space_group_symop_operation_xyz
'x,y,z'
loop_
_atom_site_label
_atom_site_type_symbol
_atom_site_fract_x
_atom_site_fract_y
_atom_site_fract_z
_atom_site_occupancy
Ag1 Ag 0.0292 0.3878 0.2489 1
Ag2 Ag 0.0343 0.1061 0.0936 1
Ag3 Ag 0.0578 0.1534 0.5356 1
Ag4 Ag 0.2052 0.3221 0.9365 1
Ag5 Ag 0.3159 0.5118 0.1525 1
Ag6 Ag 0.3231 0.5797 0.5880 1
Ag7 Ag 0.3689 0.2733 0.4081 1
Ag8 Ag 0.6311 0.7267 0.5919 1
Ag9 Ag 0.6769 0.4203 0.4120 1
Ag10 Ag 0.6841 0.4882 0.8475 1
Ag11 Ag 0.7948 0.6779 0.0635 1
Ag12 Ag 0.9422 0.8466 0.4644 1
Ag13 Ag 0.9657 0.8939 0.9064 1
Ag14 Ag 0.9708 0.6122 0.7511 1
Ge1 Ge 0.3739 0.8290 0.1930 1
Ge2 Ge 0.6261 0.1710 0.8070 1
Se1 Se 0.0000 0.5000 0.5000 1
Se2 Se 0.0069 0.8148 0.1924 1
Se3 Se 0.2989 0.5866 0.8540 1
Se4 Se 0.3284 0.8544 0.4450 1
Se5 Se 0.3797 0.1461 0.1610 1
Se6 Se 0.6203 0.8539 0.8390 1
Se7 Se 0.6716 0.1456 0.5550 1
Se8 Se 0.7011 0.4134 0.1460 1
Se9 Se 0.9931 0.1852 0.8076 1
```

# 3
The following is a PBE calculation of a relaxed structure of SrErRhAu, from Alexandria.

Formation enthalpy at 0 K   -0.57 eV/atom
SG   F-43m (216)

Structure (CIF):
```
data_SrErRhAu
_space_group_name_H-M_alt 'P 1'
_space_group_IT_number 1
_cell_length_a 7.1676
_cell_length_b 7.1676
_cell_length_c 7.1676
_cell_angle_alpha 90.00
_cell_angle_beta 90.00
_cell_angle_gamma 90.00
loop_
_space_group_symop_operation_xyz
'x,y,z'
loop_
_atom_site_label
_atom_site_type_symbol
_atom_site_fract_x
_atom_site_fract_y
_atom_site_fract_z
_atom_site_occupancy
Sr1 Sr 0.0000 0.0000 0.0000 1
Sr2 Sr 0.0000 0.5000 0.5000 1
Sr3 Sr 0.5000 0.0000 0.5000 1
Sr4 Sr 0.5000 0.5000 0.0000 1
Er1 Er 0.0000 0.0000 0.5000 1
Er2 Er 0.0000 0.5000 0.0000 1
Er3 Er 0.5000 0.0000 0.0000 1
Er4 Er 0.5000 0.5000 0.5000 1
Rh1 Rh 0.2500 0.2500 0.7500 1
Rh2 Rh 0.2500 0.7500 0.2500 1
Rh3 Rh 0.7500 0.2500 0.2500 1
Rh4 Rh 0.7500 0.7500 0.7500 1
Au1 Au 0.2500 0.2500 0.2500 1
Au2 Au 0.2500 0.7500 0.7500 1
Au3 Au 0.7500 0.2500 0.7500 1
Au4 Au 0.7500 0.7500 0.2500 1
```

# 4
The following is a PBE calculation of a relaxed structure of Sm2ErHfN4, from Alexandria.

Uncorrected formation energy   -1660 meV/atom
SG   P2/m (10)

Structure (CIF):
```
data_Sm2ErHfN4
_space_group_name_H-M_alt 'P 1'
_space_group_IT_number 1
_cell_length_a 5.9348
_cell_length_b 3.4199
_cell_length_c 5.9882
_cell_angle_alpha 90.00
_cell_angle_beta 109.08
_cell_angle_gamma 90.00
loop_
_space_group_symop_operation_xyz
'x,y,z'
loop_
_atom_site_label
_atom_site_type_symbol
_atom_site_fract_x
_atom_site_fract_y
_atom_site_fract_z
_atom_site_occupancy
Sm1 Sm 0.0000 0.0000 0.0000 1
Sm2 Sm 0.5000 0.5000 0.0000 1
Er1 Er 0.0000 0.5000 0.5000 1
Hf1 Hf 0.5000 0.0000 0.5000 1
N1 N 0.2563 0.0000 0.7284 1
N2 N 0.2699 0.5000 0.2774 1
N3 N 0.7301 0.5000 0.7226 1
N4 N 0.7437 0.0000 0.2716 1
```

# 5
The following is a PBE calculation of a relaxed structure of Sr2AgAu2, from Alexandria.

Formation enthalpy at 0 K   -0.62 eV/atom
SG   C2/m (12)

Structure (CIF):
```
data_Sr2AgAu2
_space_group_name_H-M_alt 'P 1'
_space_group_IT_number 1
_cell_length_a 6.2650
_cell_length_b 6.2650
_cell_length_c 11.5918
_cell_angle_alpha 115.16
_cell_angle_beta 115.16
_cell_angle_gamma 43.32
loop_
_space_group_symop_operation_xyz
'x,y,z'
loop_
_atom_site_label
_atom_site_type_symbol
_atom_site_fract_x
_atom_site_fract_y
_atom_site_fract_z
_atom_site_occupancy
Sr1 Sr 0.0166 0.0166 0.3420 1
Sr2 Sr 0.1892 0.1892 0.1122 1
Sr3 Sr 0.8108 0.8108 0.8878 1
Sr4 Sr 0.9834 0.9834 0.6580 1
Ag1 Ag 0.2849 0.2849 0.6581 1
Ag2 Ag 0.7151 0.7151 0.3419 1
Au1 Au 0.3628 0.3628 0.4338 1
Au2 Au 0.4720 0.4720 0.1106 1
Au3 Au 0.5280 0.5280 0.8894 1
Au4 Au 0.6372 0.6372 0.5662 1
```

# 6
The following is a PBE calculation of a relaxed structure of YZnAsBr2, from Alexandria.

Uncorrected formation energy   -359 meV/atom
SG   P4/mmm (123)

Structure (CIF):
```
data_YZnAsBr2
_space_group_name_H-M_alt 'P 1'
_space_group_IT_number 1
_cell_length_a 4.9324
_cell_length_b 4.9324
_cell_length_c 5.3037
_cell_angle_alpha 90.00
_cell_angle_beta 90.00
_cell_angle_gamma 90.00
loop_
_space_group_symop_operation_xyz
'x,y,z'
loop_
_atom_site_label
_atom_site_type_symbol
_atom_site_fract_x
_atom_site_fract_y
_atom_site_fract_z
_atom_site_occupancy
Y1 Y 0.0000 0.0000 0.0000 1
Zn1 Zn 0.5000 0.5000 0.5000 1
As1 As 0.5000 0.5000 0.0000 1
Br1 Br 0.0000 0.5000 0.5000 1
Br2 Br 0.5000 0.0000 0.5000 1
```

# 7
The following is a PBE calculation of a relaxed structure of Cr2WN, from Alexandria.

Uncorrected formation energy   69 meV/atom
SG   I-42d (122)

Structure (CIF):
```
data_Cr2WN
_space_group_name_H-M_alt 'P 1'
_space_group_IT_number 1
_cell_length_a 6.5552
_cell_length_b 6.5552
_cell_length_c 4.3605
_cell_angle_alpha 90.00
_cell_angle_beta 90.00
_cell_angle_gamma 90.00
loop_
_space_group_symop_operation_xyz
'x,y,z'
loop_
_atom_site_label
_atom_site_type_symbol
_atom_site_fract_x
_atom_site_fract_y
_atom_site_fract_z
_atom_site_occupancy
Cr1 Cr 0.1343 0.2500 0.1250 1
Cr2 Cr 0.2500 0.6343 0.3750 1
Cr3 Cr 0.2500 0.8657 0.8750 1
Cr4 Cr 0.3657 0.2500 0.6250 1
Cr5 Cr 0.6343 0.7500 0.6250 1
Cr6 Cr 0.7500 0.1343 0.8750 1
Cr7 Cr 0.7500 0.3657 0.3750 1
Cr8 Cr 0.8657 0.7500 0.1250 1
W1 W 0.0000 0.0000 0.5000 1
W2 W 0.0000 0.5000 0.7500 1
W3 W 0.5000 0.0000 0.2500 1
W4 W 0.5000 0.5000 0.0000 1
N1 N 0.0000 0.0000 0.0000 1
N2 N 0.0000 0.5000 0.2500 1
N3 N 0.5000 0.0000 0.7500 1
N4 N 0.5000 0.5000 0.5000 1
```

# 8
The following is a PBE calculation of a relaxed structure of Tb8TlTe4Se3, from Alexandria.

Uncorrected formation energy   -1379 meV/atom
SG   R-3m (166)

Structure (CIF):
```
data_Tb8TlTe4Se3
_space_group_name_H-M_alt 'P 1'
_space_group_IT_number 1
_cell_length_a 8.6279
_cell_length_b 8.6279
_cell_length_c 8.6279
_cell_angle_alpha 59.09
_cell_angle_beta 59.09
_cell_angle_gamma 59.09
loop_
_space_group_symop_operation_xyz
'x,y,z'
loop_
_atom_site_label
_atom_site_type_symbol
_atom_site_fract_x
_atom_site_fract_y
_atom_site_fract_z
_atom_site_occupancy
Tb1 Tb 0.2364 0.7454 0.7454 1
Tb2 Tb 0.2389 0.2389 0.2389 1
Tb3 Tb 0.2546 0.2546 0.7635 1
Tb4 Tb 0.2546 0.7635 0.2546 1
Tb5 Tb 0.7454 0.2364 0.7454 1
Tb6 Tb 0.7454 0.7454 0.2364 1
Tb7 Tb 0.7611 0.7611 0.7611 1
Tb8 Tb 0.7635 0.2546 0.2546 1
Tl1 Tl 0.5000 0.5000 0.5000 1
Te1 Te 0.0000 0.0000 0.0000 1
Te2 Te 0.0000 0.5000 0.5000 1
Te3 Te 0.5000 0.0000 0.5000 1
Te4 Te 0.5000 0.5000 0.0000 1
Se1 Se 0.0000 0.0000 0.5000 1
Se2 Se 0.0000 0.5000 0.0000 1
Se3 Se 0.5000 0.0000 0.0000 1
```